Crystalline AcPuO at its relaxed geometry. Source: the Alexandria database, functional PBE.

Geometry as extended XYZ:
```
12
Lattice="-1.1752 3.8529 -0.7876 -3.2846 -1.3199 -1.5558 -9.7642 1.0532 19.7210" Properties=species:S:1:pos:R:3 pbc="T T T"
Pu -4.6646 2.8806 5.0093
Pu -9.5520 3.4050 14.8673
Pu -4.6721 0.1812 2.5103
Pu -9.5595 0.7057 12.3682
O -6.8462 2.2788 5.3209
O -11.7337 2.8032 15.1788
O -2.4903 0.7830 2.1988
O -7.3778 1.3074 12.0567
Ac -2.4577 2.6421 0.5499
Ac -7.3433 3.1673 10.4087
Ac -11.7664 0.9441 16.8277
Ac -6.8807 0.4190 6.9688
```

Output
Raw formation energy in eV per atom: -1.5377
Distance to the lowest polymorph of the same formula in eV per atom: 0.000
Total moment in Bohr magnetons per cell: 24.29
Uncorrected energy in eV per cell: -112.05



Crystalline ZrMn2B2 at its relaxed geometry. Source: the Alexandria database, functional PBE.

Geometry as extended XYZ:
```
5
Lattice="3.4149 0.0000 0.0000 0.0000 3.4149 0.0000 -1.7074 -1.7074 4.6236" Properties=species:S:1:pos:R:3 pbc="T T T"
Zr 0.0000 0.0000 0.0000
Mn 1.7074 0.0000 2.3118
Mn 0.0000 1.7074 2.3118
B 1.7074 1.7074 0.9379
B 0.0000 0.0000 3.6857
```

Output
DFT formation energy in meV/atom: -542
Total moment in Bohr magnetons per cell: 2.17
Uncorrected energy in eV per cell: -42.95



Crystalline NaEuAs2 at its relaxed geometry. Source: the Alexandria database, functional PBE.

Geometry as extended XYZ:
```
4
Lattice="4.1955 0.0000 0.0000 0.0000 4.6776 0.0000 0.0000 0.0000 4.6776" Properties=species:S:1:pos:R:3 pbc="T T T"
Eu 2.0978 2.3388 2.3388
Na 2.0978 0.0000 0.0000
As 0.0000 0.0000 2.3388
As 0.0000 2.3388 0.0000
```

Output
DFT formation energy in meV/atom: -641
Total moment in Bohr magnetons per cell: 6.68
Uncorrected energy in eV per cell: -23.46